## FeNi2MoO6 (PBE with a Hubbard U)

Data for FeNi2MoO6 after structural relaxation.

## Properties
The total energy is -5.806 eV/atom. Its size of the total moment is 8.0 μB/f.u. Its space group is P4mm, No. 99.

Cell: 5.482 5.482 4.616 Å, 90.00 90.00 90.00°
Fractional positions:
Fe (0.000, 0.000, 0.000)
Ni (0.000, 0.500, 0.272)
Ni (0.500, 0.000, 0.272)
Mo (0.500, 0.500, 0.995)
O (0.000, 0.000, 0.617)
O (0.256, 0.256, 0.144)
O (0.256, 0.744, 0.144)
O (0.500, 0.500, 0.621)
O (0.744, 0.256, 0.144)
O (0.744, 0.744, 0.144)